BTeW2F | PBE+U | relaxed

Calculated values
N(E_F)	0.75	states/eV/f.u.
crystal system	tetragonal
E	-23.71	eV per formula unit

a = 4.634 Å, b = 4.048 Å, c = 4.634 Å
α = 90.00°, β = 90.00°, γ = 90.00°
Element x y z (fractional)
B 0.000 0.000 0.000
Te 0.500 0.500 0.500
W 0.000 0.000 0.500
W 0.500 0.000 0.000
F 0.000 0.500 0.000